Entry 1:
Compound: CaPm2Nd2Ho2
Source: Alexandria via LeMat-Bulk
Functional: GGA-PBE
Structure: relaxed

a b c (Å): 11.506 5.159 8.186
angles (deg): 90.00 98.34 90.00
Positions (direct):
Ca 0.000 0.000 0.000
Ca 0.500 0.500 0.000
Pm 0.144 0.000 0.433
Pm 0.356 0.500 0.567
Pm 0.644 0.500 0.433
Pm 0.856 0.000 0.567
Nd 0.216 0.500 0.149
Nd 0.284 0.000 0.851
Nd 0.716 0.000 0.149
Nd 0.784 0.500 0.851
Ho 0.075 0.500 0.704
Ho 0.425 0.000 0.296
Ho 0.575 0.000 0.704
Ho 0.925 0.500 0.296

Properties
The value obtained for the energy of formation from the pure elements is 0.05 eV per atom. The calculation puts the total energy at -59.65 eV per cell. The space-group type is C2/m, No. 12.


Entry 2:
Compound: CaPrNd6Ho2
Source: Alexandria via LeMat-Bulk
Functional: GGA-PBE
Structure: relaxed

a b c (Å): 9.038 9.038 9.933
angles (deg): 94.11 94.11 118.18
Positions (direct):
Ca 0.097 0.903 0.750
Ca 0.903 0.097 0.250
Pr 0.472 0.528 0.250
Pr 0.528 0.472 0.750
Nd 0.006 0.792 0.379
Nd 0.065 0.526 0.177
Nd 0.208 0.994 0.121
Nd 0.260 0.612 0.552
Nd 0.388 0.740 0.948
Nd 0.474 0.935 0.323
Nd 0.526 0.065 0.677
Nd 0.612 0.260 0.052
Nd 0.740 0.388 0.448
Nd 0.792 0.006 0.879
Nd 0.935 0.474 0.823
Nd 0.994 0.208 0.621
Ho 0.201 0.302 0.955
Ho 0.302 0.201 0.455
Ho 0.698 0.799 0.545
Ho 0.799 0.698 0.045

Properties
The value obtained for the energy of formation from the pure elements is 0.13 eV per atom. The calculation puts the total energy at -86.49 eV per cell. The space-group type is C2/c, No. 15.


Entry 3:
Compound: CaPr6Nd2Ho
Source: Alexandria via LeMat-Bulk
Functional: GGA-PBE
Structure: relaxed

a b c (Å): 9.160 9.160 9.875
angles (deg): 93.31 93.31 118.11
Positions (direct):
Ca 0.025 0.975 0.750
Ca 0.975 0.025 0.250
Pr 0.016 0.562 0.686
Pr 0.131 0.752 0.055
Pr 0.248 0.869 0.445
Pr 0.290 0.500 0.883
Pr 0.438 0.984 0.814
Pr 0.500 0.290 0.383
Pr 0.500 0.710 0.617
Pr 0.562 0.016 0.186
Pr 0.710 0.500 0.117
Pr 0.752 0.131 0.555
Pr 0.869 0.248 0.945
Pr 0.984 0.438 0.314
Nd 0.197 0.307 0.545
Nd 0.307 0.197 0.045
Nd 0.693 0.803 0.955
Nd 0.803 0.693 0.455
Ho 0.409 0.591 0.250
Ho 0.591 0.409 0.750

Properties
The value obtained for the energy of formation from the pure elements is 0.11 eV per atom. The calculation puts the total energy at -87.34 eV per cell. The space-group type is C2/c, No. 15.


Entry 4:
Compound: CaPr4Nd2Ho
Source: Alexandria via LeMat-Bulk
Functional: GGA-PBE
Structure: relaxed

a b c (Å): 9.795 9.795 6.969
angles (deg): 110.79 110.79 88.19
Positions (direct):
Ca 0.000 0.000 0.000
Ca 0.000 0.000 0.500
Pr 0.249 0.748 0.996
Pr 0.252 0.751 0.504
Pr 0.259 0.263 0.020
Pr 0.263 0.259 0.520
Pr 0.737 0.741 0.480
Pr 0.741 0.737 0.980
Pr 0.748 0.249 0.496
Pr 0.751 0.252 0.004
Nd 0.000 0.500 0.500
Nd 0.500 0.000 0.000
Nd 0.500 0.500 0.000
Nd 0.500 0.500 0.500
Ho 0.000 0.500 0.000
Ho 0.500 0.000 0.500

Properties
The value obtained for the energy of formation from the pure elements is 0.36 eV per atom. The calculation puts the total energy at -64.75 eV per cell. The space-group type is C2/c, No. 15.


Entry 5:
Compound: Ca2NdHoS4
Source: Alexandria via LeMat-Bulk
Functional: GGA-PBE
Structure: relaxed

a b c (Å): 6.894 3.975 6.997
angles (deg): 90.00 109.10 90.00
Positions (direct):
Ca 0.000 0.000 0.000
Ca 0.500 0.500 0.000
Nd 0.000 0.500 0.500
Ho 0.500 0.000 0.500
S 0.259 0.000 0.753
S 0.259 0.500 0.253
S 0.741 0.000 0.247
S 0.741 0.500 0.747

Properties
The calculation puts the total energy at -46.23 eV per cell. For the energy relative to the elements, uncorrected, the calculation gives -2.05 eV/atom. The space-group type is P2/m, No. 10.


Entry 6:
Compound: Ca3Nd3HoS8
Source: Alexandria via LeMat-Bulk
Functional: GGA-PBE
Structure: relaxed

a b c (Å): 8.096 8.096 8.096
angles (deg): 59.79 59.79 59.79
Positions (direct):
Ca 0.000 0.500 0.500
Ca 0.500 0.000 0.500
Ca 0.500 0.500 0.000
Nd 0.000 0.000 0.500
Nd 0.000 0.500 0.000
Nd 0.500 0.000 0.000
Ho 0.500 0.500 0.500
S 0.252 0.252 0.252
S 0.260 0.260 0.739
S 0.260 0.739 0.260
S 0.261 0.740 0.740
S 0.739 0.260 0.260
S 0.740 0.261 0.740
S 0.740 0.740 0.261
S 0.748 0.748 0.748

Properties
The calculation puts the total energy at -89.08 eV per cell. For the energy relative to the elements, uncorrected, the calculation gives -2.08 eV/atom. The space-group type is R-3m, No. 166.


Entry 7:
Compound: CaNdHo2Sb4
Source: Alexandria via LeMat-Bulk
Functional: GGA-PBE
Structure: relaxed

a b c (Å): 7.699 7.695 6.286
angles (deg): 65.92 65.87 48.20
Positions (direct):
Ca 0.000 0.000 0.000
Nd 0.500 0.500 0.500
Ho 0.250 0.250 0.250
Ho 0.750 0.750 0.750
Sb 0.000 0.000 0.500
Sb 0.251 0.251 0.749
Sb 0.500 0.500 0.000
Sb 0.749 0.749 0.251

Properties
The calculation puts the total energy at -40.57 eV per cell. For the energy relative to the elements, uncorrected, the calculation gives -1.02 eV/atom. The space-group type is Fmmm, No. 69.


Entry 8:
Compound: CaNdHoSc
Source: Alexandria via LeMat-Bulk
Functional: GGA-PBE
Structure: relaxed

a b c (Å): 7.997 7.997 7.997
angles (deg): 90.00 90.00 90.00
Positions (direct):
Ca 0.000 0.000 0.000
Ca 0.000 0.500 0.500
Ca 0.500 0.000 0.500
Ca 0.500 0.500 0.000
Nd 0.250 0.250 0.250
Nd 0.250 0.750 0.750
Nd 0.750 0.250 0.750
Nd 0.750 0.750 0.250
Ho 0.250 0.250 0.750
Ho 0.250 0.750 0.250
Ho 0.750 0.250 0.250
Ho 0.750 0.750 0.750
Sc 0.000 0.000 0.500
Sc 0.000 0.500 0.000
Sc 0.500 0.000 0.000
Sc 0.500 0.500 0.500

Properties
The value obtained for the energy of formation from the pure elements is 0.15 eV per atom. The calculation puts the total energy at -68.27 eV per cell. The space-group type is F-43m, No. 216.